No. 1
Tb2Pd4Pt, relaxed, DFT PBE; total moment = 0.00 μB/cell; total DFT energy (no corrections) = -80.2 eV for the cell shown; crystal system = orthorhombic
1.0
-9.0750 0.5895 -1.5966
-0.9491 -3.2766 4.1848
0.1677 6.0215 1.2699
Tb Pd Pt
4 8 2
Direct
0.0000 0.6447 0.2893 Tb
0.0000 0.3553 0.7107 Tb
0.5000 0.8553 0.7107 Tb
0.5000 0.1447 0.2893 Tb
0.7503 0.7489 0.0000 Pd
0.7500 0.5012 0.5000 Pd
0.7500 0.0012 0.5000 Pd
0.7497 0.2489 0.0000 Pd
0.2503 0.7511 0.0000 Pd
0.2500 0.9988 0.5000 Pd
0.2500 0.4988 0.5000 Pd
0.2497 0.2511 0.0000 Pd
0.0000 0.0000 0.0000 Pt
0.5000 0.5000 0.0000 Pt

No. 2
Tb3Pd7Pt2, relaxed, DFT PBE; total moment = 0.00 μB/cell; total DFT energy (no corrections) = -71.2 eV for the cell shown; crystal system = orthorhombic
1.0
4.2367 0.0000 0.0000
0.0000 4.0566 -0.8057
0.0000 0.5316 13.2916
Tb Pd Pt
3 7 2
Direct
0.5000 0.5000 0.0000 Tb
0.5000 0.6572 0.3143 Tb
0.5000 0.3428 0.6857 Tb
0.0000 0.4219 0.8439 Pd
0.0000 0.7237 0.4474 Pd
0.0000 0.0000 0.0000 Pd
0.0000 0.5781 0.1561 Pd
0.5000 0.0772 0.1544 Pd
0.5000 0.9228 0.8456 Pd
0.0000 0.2763 0.5526 Pd
0.0000 0.8475 0.6950 Pt
0.0000 0.1525 0.3050 Pt

No. 3
Tb2Pd2Pt3, relaxed, DFT PBE; total moment = 0.00 μB/cell; E above lowest polymorph = 0 meV per atom; crystal system = monoclinic
1.0
4.1559 0.0000 0.0000
-2.0780 4.0089 -2.6235
0.0000 -0.8813 9.0671
Tb Pd Pt
2 2 3
Direct
0.4200 0.8399 0.2255 Tb
0.5800 0.1601 0.7745 Tb
0.2326 0.4652 0.3912 Pd
0.7674 0.5348 0.6088 Pd
0.0000 0.0000 0.5000 Pt
0.6720 0.3440 0.1484 Pt
0.3280 0.6560 0.8516 Pt

No. 4
Tb2Pd3Pt2, relaxed, DFT PBE; total moment = 0.00 μB/cell; total DFT energy (no corrections) = -42.1 eV for the cell shown; crystal system = monoclinic
1.0
4.0454 0.0000 0.0000
-2.0227 4.0475 -2.6003
0.0000 -0.7919 9.1208
Tb Pd Pt
2 3 2
Direct
0.4404 0.8807 0.2378 Tb
0.5596 0.1193 0.7622 Tb
0.0000 0.0000 0.5000 Pd
0.6737 0.3473 0.1441 Pd
0.3263 0.6527 0.8559 Pd
0.2373 0.4746 0.3889 Pt
0.7627 0.5254 0.6111 Pt

No. 5
TbPd3Pt, relaxed, DFT PBE; total moment = 0.00 μB/cell; E above lowest polymorph = 0 meV per atom; crystal system = monoclinic
1.0
4.9965 -1.3165 0.0000
-1.7025 5.0884 0.0000
0.0000 0.0000 7.8687
Tb Pd Pt
2 6 2
Direct
0.5000 0.0000 0.7033 Tb
0.0000 0.5000 0.2967 Tb
0.6702 0.8459 0.3688 Pd
0.8298 0.6541 0.6312 Pd
0.1702 0.3459 0.6312 Pd
0.3298 0.1541 0.3688 Pd
0.0000 0.0000 0.9335 Pd
0.5000 0.5000 0.0665 Pd
0.5000 0.0000 0.0787 Pt
0.0000 0.5000 0.9213 Pt

No. 6
Tb5Pd2Pt, relaxed, DFT PBE; total moment = 0.00 μB/cell; total DFT energy (no corrections) = -91.2 eV for the cell shown; crystal system = tetragonal
1.0
-6.4218 -2.7353 -2.1776
1.0483 2.8382 -6.6565
6.0660 -6.2908 2.2889
Tb Pd Pt
10 4 2
Direct
0.5208 0.6817 0.7025 Tb
0.8183 0.9792 0.2975 Tb
0.0000 0.0000 0.0000 Tb
0.5000 0.5000 0.0000 Tb
0.1817 0.0208 0.7025 Tb
0.6817 0.1817 0.7025 Tb
0.0208 0.5208 0.7025 Tb
0.3183 0.8183 0.2975 Tb
0.9792 0.4792 0.2975 Tb
0.4792 0.3183 0.2975 Tb
0.1335 0.3665 0.0000 Pd
0.6335 0.1335 0.0000 Pd
0.3665 0.8665 0.0000 Pd
0.8665 0.6335 0.0000 Pd
0.7500 0.7500 0.5000 Pt
0.2500 0.2500 0.5000 Pt